# 1
Compound: Mn5P
Source: Alexandria
Functional: GGA-PBEsol
Structure: relaxed

```
Mn5P
1.0
3.9374 0.0000 0.0000
0.0000 2.5662 0.0000
0.0000 0.0000 12.2787
Mn P
10 2
Direct
0.0000 0.0000 0.0000 Mn
0.0000 0.0000 0.3322 Mn
0.0000 0.0000 0.6670 Mn
0.0000 0.5000 0.1670 Mn
0.0000 0.5000 0.5000 Mn
0.0000 0.5000 0.8322 Mn
0.5000 0.0000 0.1107 Mn
0.5000 0.0000 0.4439 Mn
0.5000 0.5000 0.6107 Mn
0.5000 0.5000 0.9439 Mn
0.5000 0.0000 0.7812 P
0.5000 0.5000 0.2812 P
```

Values from the calculation:
offset from the most stable computed form: 56 meV/atom
calculated formation energy: -0.12 eV/atom
DOS at the Fermi energy: 1.203 states/eV per atom



# 2
Compound: Mg2InAg
Source: Alexandria
Functional: GGA-PBEsol
Structure: relaxed

```
Mg2InAg
1.0
3.1854 0.0000 0.0000
-1.5927 2.7587 0.0000
0.0000 0.0000 28.2414
Mg In Ag
6 3 3
Direct
0.0000 0.0000 0.2433 Mg
0.0000 0.0000 0.7567 Mg
0.3333 0.6667 0.4234 Mg
0.3333 0.6667 0.9100 Mg
0.6667 0.3333 0.0900 Mg
0.6667 0.3333 0.5766 Mg
0.0000 0.0000 0.0000 In
0.3333 0.6667 0.6667 In
0.6667 0.3333 0.3333 In
0.0000 0.0000 0.5000 Ag
0.3333 0.6667 0.1667 Ag
0.6667 0.3333 0.8333 Ag
```

Values from the calculation:
calculated formation energy: -0.09 eV/atom
DOS at the Fermi energy: 0.389 states/eV per atom